Below is a relaxed structure of TiCrPbO6, with properties calculated at the PBE+U level.

Values from the calculation:
calculated total energy: -7.2017 eV per atom
spin magnetization: 4.00 μB per cell

The structure in CIF format:
```
data_TiCrPbO6
_chemical_formula_sum 'Ti2 Cr2 Pb2 O12'
_space_group_name_H-M_alt 'C 1 2 1'
_space_group_IT_number 5
_cell_length_a 5.1345
_cell_length_b 8.7885
_cell_length_c 4.6501
_cell_angle_alpha 90.00
_cell_angle_beta 90.43
_cell_angle_gamma 90.00
loop_
_space_group_symop_operation_xyz
'x,y,z'
'-x,y,-z'
'x+1/2,y+1/2,z'
'-x+1/2,y+1/2,-z'
loop_
_atom_site_label
_atom_site_fract_x
_atom_site_fract_y
_atom_site_fract_z
Ti1 0.0000 0.0000 0.0000
Cr1 0.0000 0.6623 0.0000
Pb1 0.0000 0.3299 0.5000
O1 0.1416 0.8291 0.2252
O2 0.1745 0.5134 0.2263
O3 0.1803 0.1514 0.2314
```